[1]
A relaxed YRe2 crystal, computed with PBE.

Values from the calculation:
E_form, eV/atom: 0.24

Unit cell a=4.1813 b=4.1813 c=4.4272 alpha=90.00 beta=90.00 gamma=120.00
With the nearest neighbours (Å) after each atom.
Fractional positions:
Re (0.6667, 0.3333, 0.5213)  3 Re 2.42
Re (0.3333, 0.6667, 0.4787)  3 Re 2.42
Y (0.0000, 0.0000, 0.0000)  12 Re 3.21-3.34



[2]
A relaxed CaHgI2 crystal, computed with PBE.

Values from the calculation:
Distance to the lowest polymorph of the same formula, eV/atom: 0.002
Raw formation energy, eV per atom: -1.19

Unit cell a=4.5020 b=4.5020 c=12.3430 alpha=79.49 beta=79.49 gamma=60.00
With the nearest neighbours (Å) after each atom.
Fractional positions:
Ca (0.5000, 0.5000, 0.5000)  6 I 3.15
Hg (0.0000, 0.0000, 0.0000)  2 I 4.25, 6 Hg 4.50
I (0.8826, 0.8826, 0.3523)  3 Ca 3.15
I (0.1174, 0.1174, 0.6477)  3 Ca 3.15



Please write out number 2 again, unchanged.
A relaxed CaHgI2 crystal, computed with PBE.

Values from the calculation:
Distance to the lowest polymorph of the same formula, eV/atom: 0.002
Raw formation energy, eV per atom: -1.19

Unit cell a=4.5020 b=4.5020 c=12.3430 alpha=79.49 beta=79.49 gamma=60.00
With the nearest neighbours (Å) after each atom.
Fractional positions:
Ca (0.5000, 0.5000, 0.5000)  6 I 3.15
Hg (0.0000, 0.0000, 0.0000)  2 I 4.25, 6 Hg 4.50
I (0.8826, 0.8826, 0.3523)  3 Ca 3.15
I (0.1174, 0.1174, 0.6477)  3 Ca 3.15